Version w
First-principles (PBE) data for an optimized crystal structure of LiMn3Pb, as listed in the Alexandria database.

## Properties
- space-group type = Pm-3m
- magnetization (μB/atom) = 2.113
- N(E_F) (states/eV per cell) = 3.7

a b c (Å): 4.4390 4.4390 4.4390
angles (deg): 90.00 90.00 90.00
Each line ends with the local moment (μB).
Element x y z (fractional)
Mn (0.0000, 0.5000, 0.0000)  3.47
Mn (0.5000, 0.0000, 0.0000)  3.38
Mn (0.0000, 0.0000, 0.5000)  3.73
Pb (0.5000, 0.5000, 0.5000)  -0.13
Li (0.0000, 0.0000, 0.0000)  -0.12

=====

Version x
First-principles (PBE) data for an optimized crystal structure of LiMn3Pb, as listed in the Alexandria database.

## Properties
- space-group type = Pm-3m
- magnetization (μB/atom) = 2.421
- N(E_F) (states/eV per cell) = 4.7

a b c (Å): 5.2048 5.2048 5.2048
angles (deg): 90.00 90.00 90.00
Each line ends with the local moment (μB).
Element x y z (fractional)
Mn (0.0000, 0.5000, 0.0000)  3.99
Mn (0.5000, 0.0000, 0.0000)  3.80
Mn (0.0000, 0.0000, 0.5000)  4.16
Li (0.5000, 0.5000, 0.5000)  -0.06
Pb (0.0000, 0.0000, 0.0000)  -0.10

=====

The most stable of them is version w.

=====

Version w
First-principles (PBE) data for an optimized crystal structure of LiMnPd, as listed in the Alexandria database.

## Properties
- space-group type = P3m1
- magnetization (μB/atom) = 0.000
- N(E_F) (states/eV per cell) = 4.1

a b c (Å): 2.6861 2.6861 12.6290
angles (deg): 90.00 90.00 120.00
Element x y z (fractional)
Mn (0.6667, 0.3333, 0.3040)
Mn (0.0000, 0.0000, 0.4378)
Pd (0.0000, 0.0000, 0.7878)
Pd (0.0000, 0.0000, 0.1283)
Li (0.3333, 0.6667, 0.9587)
Li (0.3333, 0.6667, 0.6187)

=====

Version x
First-principles (PBE) data for an optimized crystal structure of LiMnPd, as listed in the Alexandria database.

## Properties
- space-group type = I4mm
- magnetization (μB/atom) = 1.417
- N(E_F) (states/eV per cell) = 2.1

a b c (Å): 3.2256 3.2256 4.8076
angles (deg): 109.60 109.60 90.00
Each line ends with the local moment (μB).
Element x y z (fractional)
Pd (0.9490, 0.9490, 0.8981)  0.22
Li (0.2900, 0.2900, 0.5799)  -0.02
Mn (0.6110, 0.6110, 0.2220)  3.88

=====

Version y
First-principles (PBE) data for an optimized crystal structure of LiMnPd, as listed in the Alexandria database.

## Properties
- space-group type = Pnma
- magnetization (μB/atom) = 0.001
- N(E_F) (states/eV per cell) = 11.4

a b c (Å): 7.8942 2.8010 7.5552
angles (deg): 90.00 90.00 90.00
Element x y z (fractional)
Li (0.0694, 0.7500, 0.1551)
Li (0.4306, 0.2500, 0.6551)
Li (0.9306, 0.2500, 0.8449)
Li (0.5694, 0.7500, 0.3449)
Mn (0.9167, 0.2500, 0.4513)
Mn (0.4167, 0.2500, 0.0487)
Mn (0.5833, 0.7500, 0.9513)
Mn (0.0833, 0.7500, 0.5487)
Pd (0.2803, 0.2500, 0.3463)
Pd (0.7803, 0.2500, 0.1537)
Pd (0.7197, 0.7500, 0.6537)
Pd (0.2197, 0.7500, 0.8463)

=====

Version z
First-principles (PBE) data for an optimized crystal structure of LiMnPd, as listed in the Alexandria database.

## Properties
- space-group type = P3m1
- magnetization (μB/atom) = 1.410
- N(E_F) (states/eV per cell) = 1.7

a b c (Å): 2.7667 4.2535 4.2535
angles (deg): 120.00 90.00 90.00
Each line ends with the local moment (μB).
Element x y z (fractional)
Mn (0.0235, 0.0000, 0.0000)  3.84
Li (0.3423, 0.6667, 0.3333)  -0.01
Pd (0.6342, 0.3333, 0.6667)  0.26

=====

The most stable of them is version z.

=====

Version w
First-principles (PBE) data for an optimized crystal structure of LiMnPd, as listed in the Alexandria database.

## Properties
- space-group type = R3m
- magnetization (μB/atom) = 0.001
- N(E_F) (states/eV per cell) = 5.1

a b c (Å): 2.6923 2.6923 12.7123
angles (deg): 90.00 96.08 120.00
Element x y z (fractional)
Li (0.0690, 0.6047, 0.6675)
Li (0.1770, 0.1585, 0.3293)
Mn (0.9660, 0.0535, 0.0123)
Mn (0.7215, 0.4310, 0.1452)
Pd (0.5160, 0.3282, 0.8372)
Pd (0.6221, 0.8814, 0.4971)

=====

Version x
First-principles (PBE) data for an optimized crystal structure of LiMnPd, as listed in the Alexandria database.

## Properties
- space-group type = P4mm
- magnetization (μB/atom) = 0.000
- N(E_F) (states/eV per cell) = 4.6

a b c (Å): 2.7768 2.7768 9.9532
angles (deg): 90.00 90.00 90.00
Element x y z (fractional)
Mn (0.5000, 0.5000, 0.6783)
Mn (0.0000, 0.0000, 0.5599)
Pd (0.0000, 0.0000, 0.8699)
Pd (0.0000, 0.0000, 0.2246)
Li (0.5000, 0.5000, 0.3846)
Li (0.5000, 0.5000, 0.0475)

=====

The most stable of them is version x.

=====

Version w
First-principles (PBE) data for an optimized crystal structure of LiMnPd, as listed in the Alexandria database.

## Properties
- space-group type = Cmcm
- magnetization (μB/atom) = 0.220
- N(E_F) (states/eV per cell) = 3.3

a b c (Å): 7.3315 7.3315 2.7616
angles (deg): 90.00 90.00 142.42
Each line ends with the local moment (μB).
Element x y z (fractional)
Li (0.1113, 0.8887, 0.7500)  0.01
Li (0.8887, 0.1113, 0.2500)  0.01
Mn (0.5540, 0.4460, 0.7500)  0.59
Mn (0.4460, 0.5540, 0.2500)  0.59
Pd (0.2929, 0.7071, 0.7500)  0.01
Pd (0.7071, 0.2929, 0.2500)  0.01

=====

Version x
First-principles (PBE) data for an optimized crystal structure of LiMnPd, as listed in the Alexandria database.

## Properties
- space-group type = Cm
- magnetization (μB/atom) = 0.081
- N(E_F) (states/eV per cell) = 5.0

a b c (Å): 2.7686 2.7682 13.1760
angles (deg): 89.99 102.14 120.01
Each line ends with the local moment (μB).
Element x y z (fractional)
Mn (0.2719, 0.7839, 0.0028)  3.07
Mn (0.8075, 0.5521, 0.1542)  -2.88
Pd (0.2746, 0.7859, 0.4998)  0.02
Pd (0.3795, 0.3382, 0.8320)  0.17
Li (0.3861, 0.3419, 0.3354)  0.01
Li (0.8263, 0.5607, 0.6643)  0.00

=====

Version y
First-principles (PBE) data for an optimized crystal structure of LiMnPd, as listed in the Alexandria database.

## Properties
- space-group type = P-6m2
- magnetization (μB/atom) = 0.000
- N(E_F) (states/eV per cell) = 5.6

a b c (Å): 4.2544 4.2544 5.3786
angles (deg): 90.00 90.00 120.00
Element x y z (fractional)
Li (0.6667, 0.3333, 0.0000)
Li (0.6667, 0.3333, 0.5000)
Pd (0.0000, 0.0000, 0.7553)
Pd (0.0000, 0.0000, 0.2447)
Mn (0.3333, 0.6667, 0.8213)
Mn (0.3333, 0.6667, 0.1787)

=====

The most stable of them is version x.

=====

Version w
First-principles (PBE) data for an optimized crystal structure of LiMnPd, as listed in the Alexandria database.

## Properties
- space-group type = Cm
- magnetization (μB/atom) = 0.000
- N(E_F) (states/eV per cell) = 3.6

a b c (Å): 10.4860 5.2576 5.2576
angles (deg): 147.99 145.11 34.89
Element x y z (fractional)
Pd (0.1953, 0.8377, 0.1623)
Pd (0.8277, 0.5189, 0.4811)
Li (0.0620, 0.6477, 0.3523)
Li (0.3875, 0.9823, 0.0177)
Mn (0.7251, 0.3244, 0.6756)
Mn (0.5672, 0.0827, 0.9173)

=====

Version x
First-principles (PBE) data for an optimized crystal structure of LiMnPd, as listed in the Alexandria database.

## Properties
- space-group type = F-43m
- magnetization (μB/atom) = 0.000
- N(E_F) (states/eV per cell) = 5.9

a b c (Å): 4.0052 4.0052 4.0052
angles (deg): 60.00 60.00 60.00
Element x y z (fractional)
Mn (0.7500, 0.7500, 0.7500)
Pd (0.5000, 0.5000, 0.5000)
Li (0.2500, 0.2500, 0.2500)

=====

The most stable of them is version w.

=====

Version w
First-principles (PBE) data for an optimized crystal structure of LiMnPd4, as listed in the Alexandria database.

## Properties
- space-group type = C2/m
- magnetization (μB/atom) = 0.793
- N(E_F) (states/eV per cell) = 6.9

a b c (Å): 4.6851 8.4937 4.6785
angles (deg): 90.00 106.48 90.00
Each line ends with the local moment (μB).
Element x y z (fractional)
Pd (0.9999, 0.6618, 0.9998)  0.11
Pd (0.0002, 0.1613, 0.5002)  0.20
Pd (0.4999, 0.8382, 0.9998)  0.11
Pd (0.9998, 0.8387, 0.4998)  0.20
Pd (0.0001, 0.3382, 0.0002)  0.11
Pd (0.4998, 0.6613, 0.4998)  0.20
Pd (0.5002, 0.3387, 0.5002)  0.20
Pd (0.5001, 0.1618, 0.0002)  0.11
Li (0.0000, 0.5000, 0.5000)  -0.01
Li (0.5000, 0.0000, 0.5000)  -0.01
Mn (0.0000, 0.0000, 0.0000)  3.93
Mn (0.5000, 0.5000, 0.0000)  3.93

=====

Version x
First-principles (PBE) data for an optimized crystal structure of LiMnPd4, as listed in the Alexandria database.

## Properties
- space-group type = C2/m
- magnetization (μB/atom) = 0.777
- N(E_F) (states/eV per cell) = 4.7

a b c (Å): 2.9256 5.5870 6.9090
angles (deg): 118.75 77.78 74.82
Each line ends with the local moment (μB).
Element x y z (fractional)
Li (0.0000, 0.0000, 0.0000)  -0.01
Pd (0.6699, 0.9867, 0.6736)  0.20
Pd (0.1749, 0.4810, 0.1693)  0.16
Pd (0.8251, 0.5190, 0.8307)  0.16
Pd (0.3301, 0.0133, 0.3264)  0.20
Mn (0.5000, 0.5000, 0.5000)  3.79

=====

The most stable of them is version x.